# 1
Density functional theory data (PBE) for a relaxed structure of LiTbScIr.

extended XYZ file:
```
4
Lattice="0.000 3.385 3.385 3.385 0.000 3.385 3.385 3.385 0.000" Properties=species:S:1:pos:R:3 pbc="T T T"
Li 0.000 0.000 0.000
Tb 5.078 5.078 5.078
Sc 1.693 1.693 1.693
Ir 3.385 3.385 3.385
```

Calculated values
V ... 19.39 A^3/atom

***

# 2
Density functional theory data (PBE) for a relaxed structure of LiScTiIr.

extended XYZ file:
```
4
Lattice="0.000 3.186 3.186 3.186 0.000 3.186 3.186 3.186 0.000" Properties=species:S:1:pos:R:3 pbc="T T T"
Li 0.000 0.000 0.000
Sc 4.779 4.779 4.779
Ti 1.593 1.593 1.593
Ir 3.186 3.186 3.186
```

Calculated values
V ... 16.17 A^3/atom

***

# 3
Density functional theory data (PBE) for a relaxed structure of LiScTlIr.

extended XYZ file:
```
4
Lattice="0.000 3.291 3.291 3.291 0.000 3.291 3.291 3.291 0.000" Properties=species:S:1:pos:R:3 pbc="T T T"
Li 0.000 0.000 0.000
Sc 1.645 1.645 1.645
Tl 4.936 4.936 4.936
Ir 3.291 3.291 3.291
```

Calculated values
V ... 17.82 A^3/atom

***

no.,spin magnetization (μB/f.u.),DOS at the Fermi energy (states/eV/cell),formation energy (meV/atom)
1,0.00,2.83,-578
2,0.00,4.11,-543
3,0.00,4.18,-368